Entry 1:
The following is a DFT calculation (GGA-PBE) of a geometry-optimized La2GeRh structure.

Cell and atoms, written as CIF:
```
data_La2GeRh
_chemical_formula_sum 'La2 Ge1 Rh1'
_cell_length_a 4.975
_cell_length_b 4.975
_cell_length_c 3.958
_cell_angle_alpha 90.00
_cell_angle_beta 90.00
_cell_angle_gamma 90.00
_space_group_name_H-M_alt 'P 4/m m m'
_space_group_IT_number 123
_space_group_name_Hall '-P 4 2'
loop_
_atom_site_label
_atom_site_type_symbol
_atom_site_fract_x
_atom_site_fract_y
_atom_site_fract_z
La1 La 0.000 0.500 0.000
Ge1 Ge 0.000 0.000 0.500
Rh1 Rh 0.500 0.500 0.500
```

formation energy from the elements = -0.66 eV/atom
theoretical density = 7.68 g/cm³
volume = 24.5 Å³/atom
raw total energy = -0.4493 Ry per atom

Entry 2:
The following is a DFT calculation (GGA-PBE) of a geometry-optimized ZrPb3W structure.

Cell and atoms, written as CIF:
```
data_ZrPb3W
_chemical_formula_sum 'Zr1 Pb3 W1'
_cell_length_a 5.381
_cell_length_b 5.381
_cell_length_c 5.381
_cell_angle_alpha 90.00
_cell_angle_beta 90.00
_cell_angle_gamma 90.00
_space_group_name_H-M_alt 'P m -3 m'
_space_group_IT_number 221
_space_group_name_Hall '-P 4 2 3'
loop_
_atom_site_label
_atom_site_type_symbol
_atom_site_fract_x
_atom_site_fract_y
_atom_site_fract_z
Zr1 Zr 0.000 0.000 0.000
Pb1 Pb 0.000 0.500 0.500
W1 W 0.500 0.500 0.500
```

formation energy from the elements = 1.15 eV/atom
theoretical density = 9.56 g/cm³
volume = 31.2 Å³/atom
raw total energy = -0.3953 Ry per atom
energy above the lowest structure with this stoichiometry = 0.000 eV per atom

Entry 3:
The following is a DFT calculation (GGA-PBE) of a geometry-optimized La3Pm3DyTe8 structure.

Cell and atoms, written as CIF:
```
data_La3Pm3DyTe8
_chemical_formula_sum 'La9 Pm9 Dy3 Te24'
_cell_length_a 8.9753
_cell_length_b 8.9753
_cell_length_c 22.2124
_cell_angle_alpha 90.00
_cell_angle_beta 90.00
_cell_angle_gamma 120.00
_space_group_name_H-M_alt 'R -3 m'
_space_group_IT_number 166
_space_group_name_Hall '-R 3 2"'
loop_
_atom_site_label
_atom_site_type_symbol
_atom_site_fract_x
_atom_site_fract_y
_atom_site_fract_z
La1 La 0.0000 0.5000 0.0000
Pm1 Pm 0.0000 0.5000 0.5000
Dy1 Dy 0.0000 0.0000 0.5000
Te1 Te 0.0000 0.0000 0.2477
Te2 Te 0.9999 0.5000 0.2476
```

ΔE_f (raw) = -1510 meV/atom
theoretical density = 6.54 g/cm³
volume = 34.4 Å³/atom
raw total energy = -0.3990 Ry per atom